AsAu2Br: optimized geometry, PBE.

Unit cell a=4.893 b=4.893 c=4.893 alpha=60.00 beta=60.00 gamma=60.00
Positions (direct):
1 Br 0.500 0.500 0.500
2 Au 0.750 0.750 0.750
3 Au 0.250 0.250 0.250
4 As 0.000 0.000 0.000

Results
The value obtained for the total energy is -2.60 eV/atom. The uncorrected formation energy comes out at 0.62 eV/atom. The value obtained for the energy above the lowest structure with this stoichiometry is 584 meV/atom. For the density, the calculation gives 11.00 g cm⁻³.